1.
First-principles (PBE) data for a relaxed structure of ErTlGeSe3, as listed in Alexandria via LeMat-Bulk.

Unit cell a=9.4290 b=4.0072 c=9.6697 alpha=90.00 beta=104.44 gamma=90.00
Closest atoms and distances in Å follow each position.
Space group P2_1/m (No. 11)
Asymmetric unit:
Er (0.1410, 0.2500, 0.1638)  6 Se 2.83-2.86
Tl (0.3048, 0.7500, 0.7840)  2 Se 3.16, 1 Ge 3.44
Ge (0.3785, 0.7500, 0.4527)  3 Se 2.52-2.64
Se (0.0764, 0.2500, 0.8600)  3 Er 2.83-2.85, 2 Tl 3.16
Se (0.1996, 0.2500, 0.4661)  2 Ge 2.64, 1 Er 2.84
Se (0.3624, 0.7500, 0.1889)  1 Ge 2.52

Uncorrected formation energy: -5.90 eV/f.u.
Electronic total energy: -55.80 eV/cell

2.
First-principles (PBE) data for a relaxed structure of Ta2Co2Rh, as listed in Alexandria via LeMat-Bulk.

Unit cell a=6.8504 b=6.8504 c=3.0203 alpha=90.00 beta=90.00 gamma=90.00
Closest atoms and distances in Å follow each position.
Space group P4/mbm (No. 127)
Asymmetric unit:
Ta (0.1738, 0.3262, 0.0000)  6 Co 2.45-2.57
Co (0.1269, 0.6269, 0.5000)  6 Ta 2.45-2.57, 1 Co 2.46, 2 Rh 2.70
Rh (0.0000, 0.0000, 0.5000)  4 Co 2.70, 8 Ta 2.95, 2 Rh 3.02

Calculated formation energy: -0.326 eV/atom
N(E_F): 9.34 states/eV/cell
Electronic total energy: -93.80 eV/cell

3.
First-principles (PBE) data for a relaxed structure of KMnCl2, as listed in Alexandria via LeMat-Bulk.

Unit cell a=3.6522 b=3.7057 c=14.2266 alpha=90.00 beta=90.00 gamma=90.00
Closest atoms and distances in Å follow each position.
Space group Imm2 (No. 44)
Asymmetric unit:
K (0.0000, 0.0000, 0.0000)  6 Cl 3.08-3.12
Mn (0.0000, 0.5000, 0.7419)  6 Cl 2.57-2.84
Cl (0.0000, 0.0000, 0.6165)  2 Mn 2.57
Cl (0.0000, 0.5000, 0.3222)  4 Mn 2.84, 2 K 3.12

Uncorrected formation energy: -3.28 eV/f.u.
N(E_F): 3.77 states/eV/cell
Electronic total energy: -34.47 eV/cell
E above lowest polymorph: 167.9 meV/atom

4.
First-principles (PBE) data for a relaxed structure of RbHf2AlIn, as listed in Alexandria via LeMat-Bulk.

Unit cell a=5.2777 b=5.2777 c=5.3099 alpha=90.00 beta=90.00 gamma=90.00
Closest atoms and distances in Å follow each position.
Space group P4/mmm (No. 123)
Asymmetric unit:
Rb (0.0000, 0.0000, 0.0000)  4 In 3.73, 8 Hf 3.74
Hf (0.0000, 0.5000, 0.5000)  2 Al 2.64
Al (0.5000, 0.5000, 0.5000)  4 Hf 2.64, 2 In 2.65
In (0.5000, 0.5000, 0.0000)  2 Al 2.65

Calculated formation energy: 0.965 eV/atom
N(E_F): 9.42 states/eV/cell
Electronic total energy: -22.53 eV/cell

5.
First-principles (PBE) data for a relaxed structure of LiMnFe2, as listed in Alexandria via LeMat-Bulk.

Unit cell a=4.1867 b=4.1867 c=2.6227 alpha=90.00 beta=90.00 gamma=90.00
Closest atoms and distances in Å follow each position.
Space group P4/mmm (No. 123)
Asymmetric unit:
Li (0.0000, 0.0000, 0.0000)  8 Fe 2.47, 2 Li 2.62
Mn (0.5000, 0.5000, 0.0000)  8 Fe 2.47, 2 Mn 2.62
Fe (0.0000, 0.5000, 0.5000)  4 Mn 2.47, 4 Li 2.47, 2 Fe 2.62

Calculated formation energy: 0.305 eV/atom
N(E_F): 2.83 states/eV/cell
Electronic total energy: -26.79 eV/cell
E above lowest polymorph: 100.7 meV/atom

6.
First-principles (PBE) data for a relaxed structure of K2BOs, as listed in Alexandria via LeMat-Bulk.

Unit cell a=11.9791 b=11.9791 c=4.0715 alpha=90.00 beta=90.00 gamma=90.00
Closest atoms and distances in Å follow each position.
Space group I-42d (No. 122)
Asymmetric unit:
K (0.0077, 0.2500, 0.1250)  2 B 3.04, 2 Os 3.36
B (0.0000, 0.0000, 0.0000)  2 Os 2.04
Os (0.0000, 0.0000, 0.5000)  2 B 2.04

Calculated formation energy: 0.914 eV/atom
N(E_F): 6.15 states/eV/cell
Electronic total energy: -65.78 eV/cell

7.
First-principles (PBE) data for a relaxed structure of Tb2MnAl, as listed in Alexandria via LeMat-Bulk.

Unit cell a=3.5941 b=3.5941 c=7.1721 alpha=90.00 beta=90.00 gamma=90.00
Closest atoms and distances in Å follow each position.
Space group P4/mmm (No. 123)
Asymmetric unit:
Tb (0.0000, 0.0000, 0.2417)  4 Mn 3.08, 4 Al 3.15
Mn (0.5000, 0.5000, 0.0000)  8 Tb 3.08
Al (0.5000, 0.5000, 0.5000)  8 Tb 3.15

Calculated formation energy: -0.092 eV/atom
N(E_F): 3.83 states/eV/cell
Electronic total energy: -22.54 eV/cell

8.
First-principles (PBE) data for a relaxed structure of AcHfSO2, as listed in Alexandria via LeMat-Bulk.

Unit cell a=4.2223 b=4.2223 c=5.2252 alpha=90.00 beta=90.00 gamma=90.00
Closest atoms and distances in Å follow each position.
Space group P4mm (No. 99)
Asymmetric unit:
Ac (0.0000, 0.0000, 0.0000)  4 O 2.65
Hf (0.5000, 0.5000, 0.3434)  4 O 2.12
S (0.5000, 0.5000, 0.8305)  2 Hf 2.54-2.68
O (0.0000, 0.5000, 0.3063)  2 Hf 2.12

Uncorrected formation energy: -13.50 eV/f.u.
N(E_F): 2.33 states/eV/cell
Electronic total energy: -41.60 eV/cell

9.
First-principles (PBE) data for a relaxed structure of La2HPd6Pt, as listed in Alexandria via LeMat-Bulk.

Unit cell a=5.6568 b=5.6710 c=7.2639 alpha=67.21 beta=67.13 gamma=60.17
Closest atoms and distances in Å follow each position.
Space group P-1 (No. 2)
Asymmetric unit:
La (0.2202, 0.2229, 0.3383)  6 Pd 3.02-3.04
H (0.0000, 0.0000, 0.0000)  6 Pd 1.99-2.00
Pd (0.2253, 0.7186, 0.8281)  1 H 2.00
Pd (0.2268, 0.2224, 0.8223)  1 H 1.99
Pd (0.2753, 0.7781, 0.1756)  1 H 2.00
Pt (0.5000, 0.5000, 0.5000)  6 Pd 2.66-2.67

N(E_F): 4.48 states/eV/cell
Electronic total energy: -57.06 eV/cell

10.
First-principles (PBE) data for a relaxed structure of Sc2TlHRh, as listed in Alexandria via LeMat-Bulk.

Unit cell a=4.6380 b=4.6380 c=3.7770 alpha=90.00 beta=90.00 gamma=90.00
Closest atoms and distances in Å follow each position.
Space group P4/mmm (No. 123)
Asymmetric unit:
Sc (0.0000, 0.5000, 0.0000)  2 H 2.32
Tl (0.0000, 0.0000, 0.5000)  8 Sc 2.99, 4 Rh 3.28
H (0.5000, 0.5000, 0.0000)  2 Rh 1.89
Rh (0.5000, 0.5000, 0.5000)  2 H 1.89

N(E_F): 2.34 states/eV/cell
Electronic total energy: -28.33 eV/cell

11.
First-principles (PBE) data for a relaxed structure of Ba2Na2IO6, as listed in Alexandria via LeMat-Bulk.

Unit cell a=6.6029 b=11.2453 c=6.0106 alpha=90.00 beta=101.34 gamma=90.00
Closest atoms and distances in Å follow each position.
Space group C2/m (No. 12)
Asymmetric unit:
Ba (0.0000, 0.1622, 0.0000)  6 O 2.71-2.77
Na (0.0000, 0.3783, 0.5000)  4 O 2.33-2.42
I (0.0000, 0.5000, 0.0000)  6 O 2.03-2.04
O (0.1622, 0.3680, 0.1904)  1 I 2.04
O (0.2069, 0.5000, 0.7909)  1 I 2.03

Uncorrected formation energy: -16.86 eV/f.u.
N(E_F): 8.08 states/eV/cell
Electronic total energy: -109.28 eV/cell

12.
First-principles (PBE) data for a relaxed structure of Nd3InP2Rh9, as listed in Alexandria via LeMat-Bulk.

Unit cell a=6.0870 b=6.0870 c=9.4437 alpha=90.00 beta=90.00 gamma=120.00
Closest atoms and distances in Å follow each position.
Space group P-3m1 (No. 164)
Asymmetric unit:
Nd (0.0000, 0.0000, 0.0000)  12 Rh 2.97-3.04
Nd (0.3333, 0.6667, 0.7086)  9 Rh 3.06-3.26
In (0.0000, 0.0000, 0.5000)  6 Rh 2.72
P (0.3333, 0.6667, 0.1573)  6 Rh 2.19-2.30
Rh (0.0000, 0.5000, 0.0000)  2 P 2.30
Rh (0.1499, 0.2998, 0.2658)  1 P 2.19

Calculated formation energy: -0.591 eV/atom
N(E_F): 8.32 states/eV/cell
Electronic total energy: -102.89 eV/cell